(1)
The following is a PBEsol calculation of a relaxed structure of NaCaSiO4, from Alexandria via LeMat-Bulk.

extended XYZ file:
```
14
Lattice="-0.352 -3.264 4.205 4.685 0.100 -2.562 2.212 5.237 4.251" Properties=species:S:1:pos:R:3 pbc="T T T"
Na 3.665 0.354 0.620
Na 2.880 1.719 5.274
Ca 1.106 2.618 2.125
Ca 0.000 0.000 0.000
Si 4.649 2.753 3.079
Si 1.896 -0.680 2.815
O 4.954 1.672 4.253
O 1.591 0.401 1.641
O 3.415 -1.273 2.754
O 3.130 3.346 3.139
O 4.859 2.035 1.598
O 0.844 -1.956 2.677
O 1.686 0.038 4.296
O 5.701 4.029 3.216
```

Summary:
Total DFT energy (no corrections)   -6.753 eV per atom
Space-group type   P2_1/m, No. 11
Formation energy (no corrections)   -16.99 eV/f.u.

=====

(2)
The following is a PBEsol calculation of a relaxed structure of Na2CaSiO4, from Alexandria via LeMat-Bulk.

extended XYZ file:
```
32
Lattice="-3.047 -2.993 -6.077 3.761 -6.290 1.212 -5.634 -2.580 4.096" Properties=species:S:1:pos:R:3 pbc="T T T"
Na -5.853 -4.339 -3.919
Na 0.686 -6.289 0.760
Na -3.541 -8.536 -0.554
Na -3.692 -5.789 4.615
Na -2.413 -5.817 -0.377
Na -2.561 -4.666 -3.503
Na 2.117 -7.779 -1.858
Na -4.425 -4.234 1.758
Ca -1.413 -4.407 2.531
Ca -4.732 -11.407 -0.740
Ca 0.402 -4.866 -1.996
Ca -4.097 -3.043 -1.334
Si -1.278 -3.080 -0.200
Si -0.753 -7.614 -2.594
Si -2.228 -7.335 2.548
Si -5.582 -5.695 -1.293
O -2.316 -7.523 -2.995
O -1.704 -3.476 -1.743
O 0.206 -6.783 -3.647
O -2.632 -3.251 0.726
O -0.660 -1.590 -0.103
O -6.465 -6.586 -2.363
O -1.210 -6.669 3.661
O -0.461 -6.993 -1.095
O -5.435 -6.433 0.137
O -0.205 -9.169 -2.579
O -3.096 -6.094 1.895
O -6.331 -4.232 -1.161
O -1.431 -8.177 1.422
O -3.296 -8.273 3.383
O -0.209 -4.229 0.306
O -4.119 -5.417 -2.001
```

Summary:
Total DFT energy (no corrections)   -6.434 eV per atom
Space-group type   P2_13, No. 198
Formation energy (no corrections)   -19.79 eV/f.u.

=====

(3)
The following is a PBEsol calculation of a relaxed structure of Na5Ca4Si6O18, from Alexandria via LeMat-Bulk.

extended XYZ file:
```
99
Lattice="10.516 0.000 0.000 -5.258 9.107 0.000 0.000 0.000 13.246" Properties=species:S:1:pos:R:3 pbc="T T T"
Na 6.939 2.768 2.223
Na 4.650 4.625 6.639
Na 4.186 1.714 11.054
Na 6.984 6.034 7.843
Na 1.799 3.031 12.258
Na 6.991 0.043 3.427
Na 4.545 1.570 4.448
Na 6.884 3.151 8.864
Na 4.345 4.386 0.033
Na 1.869 0.235 0.130
Na 9.378 1.501 4.546
Na 4.527 7.371 8.961
Na -0.593 4.226 0.061
Na 1.895 6.481 4.476
Na -1.302 7.508 8.892
Ca -0.997 4.482 6.772
Ca 1.875 6.003 11.188
Ca -0.878 7.729 2.357
Ca 1.644 0.155 6.900
Ca 9.561 1.346 11.315
Ca 4.570 7.607 2.484
Ca 1.817 3.222 5.610
Ca 1.559 9.070 10.026
Ca -3.376 5.922 1.195
Ca -3.258 6.096 4.607
Ca 1.607 3.238 9.022
Ca 1.650 8.880 0.191
Si -0.603 4.260 3.145
Si 1.870 6.454 7.561
Si -1.267 7.500 11.976
Si 4.485 1.465 7.592
Si 7.005 3.152 12.008
Si 4.284 4.491 3.177
Si 4.162 1.734 1.442
Si 6.933 2.738 5.857
Si 4.679 4.635 10.273
Si 1.782 5.648 1.545
Si -0.525 7.827 5.960
Si -1.258 4.740 10.376
Si -0.725 1.529 1.540
Si 4.297 7.715 5.955
Si -3.572 8.971 10.371
Si 1.793 0.372 3.303
Si 9.297 1.367 7.718
Si 4.684 7.368 12.134
O 0.141 2.236 7.478
O 3.251 8.111 11.894
O -3.392 7.867 3.063
O 0.775 4.557 2.278
O 0.924 7.500 6.693
O -1.699 6.158 11.109
O 1.376 1.451 10.451
O 8.572 0.466 1.620
O 5.827 7.191 6.035
O 3.027 2.193 7.494
O 7.103 1.525 11.910
O 5.644 5.389 3.079
O 3.568 2.004 13.234
O 6.996 2.088 4.403
O 5.210 5.015 8.818
O -0.272 3.759 4.660
O 2.138 6.992 9.076
O -1.867 7.463 0.245
O 0.381 0.789 2.547
O 4.384 9.043 6.962
O -4.766 8.383 11.378
O 4.523 3.191 2.171
O 5.491 2.322 6.586
O 5.760 3.594 11.002
O -1.626 6.663 6.237
O 0.301 4.368 10.652
O 1.325 7.184 1.821
O 1.802 1.018 4.784
O 8.734 1.051 9.200
O 5.239 7.038 0.369
O -1.216 2.915 2.320
O 3.342 6.597 6.735
O -2.126 8.703 11.151
O 5.457 0.781 1.648
O 7.111 4.336 6.064
O 3.206 3.991 10.479
O 2.082 5.162 0.036
O -0.253 8.329 4.452
O -1.828 4.724 8.867
O 4.111 0.002 6.861
O 8.459 3.559 11.276
O 3.205 5.546 2.445
O 3.718 3.965 4.592
O 5.223 1.237 9.007
O 6.833 3.905 0.176
O -0.061 1.861 0.105
O 3.677 8.123 4.520
O -3.616 8.230 8.936
O -1.699 5.450 2.900
O 1.388 4.911 7.316
O 0.311 7.854 11.731
O 3.041 0.987 2.425
O 8.141 2.140 6.841
O 4.592 5.981 11.256
```

Summary:
Total DFT energy (no corrections)   -7.046 eV per atom
Space-group type   P3_1, No. 144
Formation energy (no corrections)   -88.02 eV/f.u.